Density functional theory data (PBE with a Hubbard U) for a relaxed CoHgOF2 crystal.

crystal system = tetragonal
offset from the most stable computed form = 0.000 eV per formula unit
space group = No. 123

The structure in extended XYZ format:
```
5
Lattice="4.1692 0.0000 0.0000 0.0000 4.1692 0.0000 0.0000 0.0000 3.7528" Properties=species:S:1:pos:R:3 pbc="T T T"
Co 0.0000 0.0000 0.0000
Hg 2.0846 2.0846 1.8764
O 0.0000 0.0000 1.8764
F 0.0000 2.0846 0.0000
F 2.0846 0.0000 0.0000
```